No. 1
First-principles (PBE) data for an optimized crystal structure of Hg2SeI, as listed in Alexandria via LeMat-Bulk.

Lattice parameters (Å, degrees): 4.892 7.533 9.365 70.09 72.91 71.35
Fractional positions:
Hg  0.500  0.000  0.000
Hg  0.500  0.500  0.000
Hg  0.015  0.674  0.399
Hg  0.985  0.326  0.601
Se  0.402  0.346  0.827
Se  0.598  0.654  0.173
I  0.181  0.923  0.723
I  0.819  0.077  0.277

Properties
**Space-group type**: P-1 (2)
**Energy relative to the lowest polymorph listed for this composition**: 0.007 eV/atom
**Uncorrected formation energy**: -201.6 meV/atom


No. 2
First-principles (PBE) data for an optimized crystal structure of HgSe2I, as listed in Alexandria via LeMat-Bulk.

Lattice parameters (Å, degrees): 6.161 6.636 7.179 88.98 78.91 75.37
Fractional positions:
Se  0.607  0.914  0.583
Se  0.531  0.726  0.325
Se  0.013  0.853  0.473
Se  0.556  0.386  0.459
I  0.678  0.116  0.974
I  0.077  0.328  0.463
Hg  0.048  0.784  0.098
Hg  0.337  0.544  0.810

Properties
**Space-group type**: P1 (1)
**Energy relative to the lowest polymorph listed for this composition**: 0.142 eV/atom
**Uncorrected formation energy**: 4.3 meV/atom


No. 3
First-principles (PBE) data for an optimized crystal structure of HgSe2I, as listed in Alexandria via LeMat-Bulk.

Lattice parameters (Å, degrees): 4.575 8.233 8.941 116.95 92.82 91.26
Fractional positions:
Se  0.891  0.688  0.400
Se  0.342  0.991  0.391
Se  0.099  0.966  0.614
Se  0.613  0.276  0.510
I  0.619  0.269  0.050
I  0.099  0.691  0.900
Hg  0.575  0.453  0.860
Hg  0.264  0.480  0.438

Properties
**Space-group type**: P1 (1)
**Energy relative to the lowest polymorph listed for this composition**: 0.049 eV/atom
**Uncorrected formation energy**: -89.2 meV/atom


No. 4
First-principles (PBE) data for an optimized crystal structure of HgSe2I2, as listed in Alexandria via LeMat-Bulk.

Lattice parameters (Å, degrees): 3.783 3.783 12.769 81.48 81.48 90.00
Fractional positions:
I  0.424  0.424  0.153
I  0.576  0.576  0.847
Se  0.250  0.750  0.500
Se  0.750  0.250  0.500
Hg  0.000  0.000  0.000

Properties
**Space-group type**: I4/mmm (139)
**Energy relative to the lowest polymorph listed for this composition**: 0.065 eV/atom
**Uncorrected formation energy**: 176.1 meV/atom


No. 5
First-principles (PBE) data for an optimized crystal structure of HgSe2I2, as listed in Alexandria via LeMat-Bulk.

Lattice parameters (Å, degrees): 8.548 8.548 5.806 90.00 90.00 90.00
Last column: magnetic moment on the atom in μB.
Fractional positions:
I  0.766  0.266  0.000  -0.01
I  0.234  0.734  0.000  -0.01
I  0.734  0.766  0.000  -0.01
I  0.266  0.234  0.000  -0.01
Hg  0.000  0.000  0.000  -0.01
Hg  0.500  0.500  0.000  -0.01
Se  0.590  0.910  0.500  0.18
Se  0.090  0.590  0.500  0.18
Se  0.910  0.410  0.500  0.18
Se  0.410  0.090  0.500  0.18

Properties
**Space-group type**: P4/mbm (127)
**Energy relative to the lowest polymorph listed for this composition**: 0.035 eV/atom
**Uncorrected formation energy**: 146.3 meV/atom


No. 6
First-principles (PBE) data for an optimized crystal structure of Hg2SeI, as listed in Alexandria via LeMat-Bulk.

Lattice parameters (Å, degrees): 6.663 7.167 7.491 86.68 63.83 66.31
Fractional positions:
Hg  0.369  0.757  0.281
Hg  0.631  0.243  0.719
Hg  0.077  0.619  0.227
Hg  0.923  0.381  0.773
I  0.967  0.275  0.204
I  0.033  0.725  0.796
Se  0.608  0.953  0.320
Se  0.392  0.047  0.680

Properties
**Space-group type**: P-1 (2)
**Energy relative to the lowest polymorph listed for this composition**: 0.067 eV/atom
**Uncorrected formation energy**: -141.2 meV/atom


No. 7
First-principles (PBE) data for an optimized crystal structure of Hg2SeI, as listed in Alexandria via LeMat-Bulk.

Lattice parameters (Å, degrees): 6.859 6.989 8.045 95.75 110.78 116.76
Fractional positions:
Hg  0.382  0.177  0.761
Hg  0.085  0.266  0.307
Hg  0.334  0.439  0.990
Hg  0.618  0.914  0.464
Se  0.978  0.919  0.409
Se  0.173  0.601  0.187
I  0.702  0.372  0.542
I  0.596  0.889  0.827

Properties
**Space-group type**: P1 (1)
**Energy relative to the lowest polymorph listed for this composition**: 0.006 eV/atom
**Uncorrected formation energy**: -202.4 meV/atom


No. 8
First-principles (PBE) data for an optimized crystal structure of HgSe2I, as listed in Alexandria via LeMat-Bulk.

Lattice parameters (Å, degrees): 7.740 3.594 11.565 90.00 126.20 90.00
Fractional positions:
Se  0.362  0.000  0.712
Se  0.654  0.500  0.453
Se  0.362  0.500  0.212
Se  0.654  0.000  0.953
Hg  0.482  0.500  0.590
Hg  0.482  0.000  0.090
I  0.014  0.500  0.839
I  0.014  0.000  0.339

Properties
**Space-group type**: Cm (8)
**Energy relative to the lowest polymorph listed for this composition**: 0.114 eV/atom
**Uncorrected formation energy**: -23.6 meV/atom


No. 9
First-principles (PBE) data for an optimized crystal structure of Hg4Se2I3, as listed in Alexandria via LeMat-Bulk.

Lattice parameters (Å, degrees): 7.168 9.803 9.803 92.84 99.95 99.95
Fractional positions:
Hg  0.927  0.345  0.329
Hg  0.552  0.224  0.983
Hg  0.073  0.655  0.671
Hg  0.427  0.329  0.345
Hg  0.448  0.776  0.017
Hg  0.948  0.017  0.776
Hg  0.052  0.983  0.224
Hg  0.573  0.671  0.655
Se  0.148  0.183  0.437
Se  0.852  0.817  0.563
Se  0.648  0.437  0.183
Se  0.352  0.563  0.817
I  0.445  0.009  0.762
I  0.750  0.380  0.620
I  0.055  0.238  0.991
I  0.250  0.620  0.380
I  0.945  0.762  0.009
I  0.555  0.991  0.238

Properties
**Space-group type**: C2/c (15)
**Uncorrected formation energy**: -141.5 meV/atom


No. 10
First-principles (PBE) data for an optimized crystal structure of Hg2SeI, as listed in Alexandria via LeMat-Bulk.

Lattice parameters (Å, degrees): 7.091 7.218 7.428 93.38 109.30 117.81
Fractional positions:
I  0.664  0.176  0.254
I  0.160  0.982  0.619
Hg  0.605  0.019  0.617
Hg  0.172  0.473  0.660
Hg  0.806  0.649  0.855
Hg  0.871  0.915  0.174
Se  0.959  0.372  0.887
Se  0.471  0.609  0.512

Properties
**Space-group type**: P1 (1)
**Energy relative to the lowest polymorph listed for this composition**: 0.009 eV/atom
**Uncorrected formation energy**: -198.7 meV/atom


No. 11
First-principles (PBE) data for an optimized crystal structure of HgSe2I, as listed in Alexandria via LeMat-Bulk.

Lattice parameters (Å, degrees): 5.205 5.205 5.205 60.00 60.00 60.00
Fractional positions:
Hg  0.500  0.500  0.500
I  0.000  0.000  0.000
Se  0.750  0.750  0.750
Se  0.250  0.250  0.250

Properties
**Space-group type**: Fm-3m (225)
**Energy relative to the lowest polymorph listed for this composition**: 0.677 eV/atom
**Uncorrected formation energy**: 539.6 meV/atom


No. 12
First-principles (PBE) data for an optimized crystal structure of HgSe2I, as listed in Alexandria via LeMat-Bulk.

Lattice parameters (Å, degrees): 5.971 6.936 8.210 104.74 108.73 101.63
Fractional positions:
Se  0.748  0.834  0.474
Se  0.164  0.589  0.895
Se  0.390  0.799  0.780
Se  0.795  0.657  0.202
I  0.275  0.252  0.429
I  0.598  0.194  0.023
Hg  0.720  0.550  0.683
Hg  0.276  0.775  0.328

Properties
**Space-group type**: P1 (1)
**Energy relative to the lowest polymorph listed for this composition**: 0.082 eV/atom
**Uncorrected formation energy**: -56.1 meV/atom


No. 13
First-principles (PBE) data for an optimized crystal structure of Hg2SeI, as listed in Alexandria via LeMat-Bulk.

Lattice parameters (Å, degrees): 7.540 7.540 9.117 90.00 90.00 120.00
Fractional positions:
Se  0.372  0.372  0.000
Se  0.000  0.628  0.667
Se  0.628  0.000  0.333
Hg  0.586  0.653  0.215
Hg  0.414  0.067  0.119
Hg  0.933  0.347  0.452
Hg  0.347  0.933  0.548
Hg  0.067  0.414  0.881
Hg  0.653  0.586  0.785
I  0.650  0.000  0.833
I  0.350  0.350  0.500
I  0.000  0.650  0.167

Properties
**Space-group type**: P3_121 (152)
**Energy relative to the lowest polymorph listed for this composition**: 0.118 eV/atom
**Uncorrected formation energy**: -89.6 meV/atom


No. 14
First-principles (PBE) data for an optimized crystal structure of HgSe2I, as listed in Alexandria via LeMat-Bulk.

Lattice parameters (Å, degrees): 6.205 9.949 8.524 40.37 107.70 103.40
Fractional positions:
Se  0.436  0.208  0.286
Se  0.151  0.614  0.015
Se  0.612  0.946  0.400
Se  0.354  0.672  0.585
Hg  0.258  0.657  0.285
Hg  0.805  0.408  0.180
I  0.018  0.165  0.793
I  0.518  0.144  0.805

Properties
**Space-group type**: P1 (1)
**Energy relative to the lowest polymorph listed for this composition**: 0.117 eV/atom
**Uncorrected formation energy**: -20.5 meV/atom


No. 15
First-principles (PBE) data for an optimized crystal structure of Hg2SeI, as listed in Alexandria via LeMat-Bulk.

Lattice parameters (Å, degrees): 4.328 4.341 7.552 90.00 73.53 59.93
Fractional positions:
I  0.000  0.500  0.000
Se  0.000  0.000  0.500
Hg  0.469  0.265  0.294
Hg  0.531  0.735  0.706

Properties
**Space-group type**: C2/m (12)
**Energy relative to the lowest polymorph listed for this composition**: 0.109 eV/atom
**Uncorrected formation energy**: -98.7 meV/atom


No. 16
First-principles (PBE) data for an optimized crystal structure of Hg2SeI, as listed in Alexandria via LeMat-Bulk.

Lattice parameters (Å, degrees): 7.013 7.152 7.617 88.51 63.90 62.71
Fractional positions:
Se  0.023  0.700  0.813
Se  0.483  0.897  0.535
Hg  0.264  0.143  0.051
Hg  0.640  0.780  0.150
Hg  0.205  0.308  0.646
Hg  0.864  0.875  0.553
I  0.342  0.569  0.197
I  0.798  0.305  0.568

Properties
**Space-group type**: P1 (1)
**Energy relative to the lowest polymorph listed for this composition**: 0.031 eV/atom
**Uncorrected formation energy**: -177.4 meV/atom


No. 17
First-principles (PBE) data for an optimized crystal structure of Hg3SeI, as listed in Alexandria via LeMat-Bulk.

Lattice parameters (Å, degrees): 5.553 5.553 5.553 90.00 90.00 90.00
Fractional positions:
Hg  0.000  0.500  0.000
Hg  0.500  0.000  0.000
Hg  0.000  0.000  0.500
I  0.500  0.500  0.500
Se  0.000  0.000  0.000

Properties
**Space-group type**: Pm-3m (221)
**Energy relative to the lowest polymorph listed for this composition**: 0.035 eV/atom
**Uncorrected formation energy**: -14.8 meV/atom


No. 18
First-principles (PBE) data for an optimized crystal structure of HgSe3I, as listed in Alexandria via LeMat-Bulk.

Lattice parameters (Å, degrees): 5.301 5.301 5.301 90.00 90.00 90.00
Fractional positions:
I  0.500  0.500  0.500
Se  0.000  0.000  0.500
Se  0.000  0.500  0.000
Se  0.500  0.000  0.000
Hg  0.000  0.000  0.000

Properties
**Space-group type**: Pm-3m (221)
**Energy relative to the lowest polymorph listed for this composition**: 0.000 eV/atom
**Uncorrected formation energy**: 731.9 meV/atom


No. 19
First-principles (PBE) data for an optimized crystal structure of HgSe2I, as listed in Alexandria via LeMat-Bulk.

Lattice parameters (Å, degrees): 4.472 4.782 6.679 69.17 78.16 81.08
Fractional positions:
I  0.000  0.500  0.500
Se  0.595  0.925  0.847
Se  0.405  0.075  0.153
Hg  0.000  0.500  0.000

Properties
**Space-group type**: P-1 (2)
**Energy relative to the lowest polymorph listed for this composition**: 0.111 eV/atom
**Uncorrected formation energy**: -26.5 meV/atom


No. 20
First-principles (PBE) data for an optimized crystal structure of Hg3Se2I2, as listed in Alexandria via LeMat-Bulk.

Lattice parameters (Å, degrees): 4.246 8.260 8.298 116.98 104.82 90.00
Fractional positions:
Hg  0.273  0.798  0.545
Hg  0.000  0.000  0.000
Hg  0.727  0.202  0.455
Se  0.848  0.705  0.696
Se  0.152  0.295  0.304
I  0.378  0.215  0.757
I  0.622  0.785  0.243

Properties
**Space-group type**: C2/m (12)
**Energy relative to the lowest polymorph listed for this composition**: 0.092 eV/atom
**Uncorrected formation energy**: -167.4 meV/atom


No. 21
First-principles (PBE) data for an optimized crystal structure of HgSe6I2, as listed in Alexandria via LeMat-Bulk.

Lattice parameters (Å, degrees): 4.775 8.439 9.312 107.31 93.60 104.55
Fractional positions:
I  0.590  0.816  0.117
I  0.410  0.184  0.883
Se  0.879  0.223  0.484
Se  0.973  0.548  0.278
Se  0.027  0.452  0.722
Se  0.121  0.777  0.516
Se  0.192  0.343  0.332
Se  0.808  0.657  0.668
Hg  0.000  0.000  0.000

Properties
**Space-group type**: P-1 (2)
**Uncorrected formation energy**: -59.2 meV/atom


No. 22
First-principles (PBE) data for an optimized crystal structure of HgSe2I, as listed in Alexandria via LeMat-Bulk.

Lattice parameters (Å, degrees): 7.019 5.469 8.401 90.00 109.70 90.00
Fractional positions:
Se  0.665  0.333  0.092
Se  0.637  0.021  0.291
Se  0.335  0.333  0.908
Se  0.363  0.021  0.709
I  0.829  0.589  0.711
I  0.171  0.589  0.289
Hg  0.000  0.967  0.500
Hg  0.500  0.296  0.500

Properties
**Space-group type**: P2 (3)
**Energy relative to the lowest polymorph listed for this composition**: 0.000 eV/atom
**Uncorrected formation energy**: -137.9 meV/atom


No. 23
First-principles (PBE) data for an optimized crystal structure of HgSe2I, as listed in Alexandria via LeMat-Bulk.

Lattice parameters (Å, degrees): 9.547 9.547 9.547 24.64 24.64 24.64
Fractional positions:
Hg  0.000  0.000  0.000
Se  0.091  0.091  0.091
Se  0.909  0.909  0.909
I  0.500  0.500  0.500

Properties
**Space-group type**: R-3m (166)
**Energy relative to the lowest polymorph listed for this composition**: 0.563 eV/atom
**Uncorrected formation energy**: 425.3 meV/atom


No. 24
First-principles (PBE) data for an optimized crystal structure of Hg2SeI, as listed in Alexandria via LeMat-Bulk.

Lattice parameters (Å, degrees): 5.369 5.369 5.369 60.00 60.00 60.00
Fractional positions:
Se  0.000  0.000  0.000
I  0.500  0.500  0.500
Hg  0.750  0.750  0.750
Hg  0.250  0.250  0.250

Properties
**Space-group type**: Fm-3m (225)
**Energy relative to the lowest polymorph listed for this composition**: 0.481 eV/atom
**Uncorrected formation energy**: 273.1 meV/atom


No. 25
First-principles (PBE) data for an optimized crystal structure of HgSe2I, as listed in Alexandria via LeMat-Bulk.

Lattice parameters (Å, degrees): 7.463 7.463 6.982 57.70 57.70 90.00
Fractional positions:
Se  0.875  0.906  0.750
Se  0.656  0.125  0.250
Se  0.375  0.344  0.750
Se  0.094  0.625  0.250
Hg  0.000  0.000  0.000
Hg  0.750  0.250  0.500
I  0.250  0.750  0.500
I  0.500  0.500  0.000

Properties
**Space-group type**: I-42d (122)
**Energy relative to the lowest polymorph listed for this composition**: 0.445 eV/atom
**Uncorrected formation energy**: 307.4 meV/atom